! GGA-PBE BPPdO, relaxed; values from VASP
&SYSTEM
  ibrav = 0, nat = 8, ntyp = 4
/
ATOMIC_SPECIES
B 10.81 B.upf
P 30.97 P.upf
Pd 106.42 Pd.upf
O 16.00 O.upf
ATOMIC_POSITIONS crystal
B 0.250 0.250 0.066
B 0.750 0.750 0.934
P 0.250 0.250 0.303
P 0.750 0.750 0.697
Pd 0.250 0.750 0.500
Pd 0.750 0.250 0.500
O 0.250 0.750 0.000
O 0.750 0.250 0.000
CELL_PARAMETERS angstrom
3.532 0.000 0.000
0.000 3.532 0.000
0.000 0.000 8.177
! Space group: P4/nmm (129)
! Distance to the lowest polymorph of the same formula, eV per atom: 0.723

! GGA-PBE ZrScBeCo, relaxed; values from VASP
&SYSTEM
  ibrav = 0, nat = 4, ntyp = 4
/
ATOMIC_SPECIES
Zr 91.22 Zr.upf
Sc 44.96 Sc.upf
Be 9.01 Be.upf
Co 58.93 Co.upf
ATOMIC_POSITIONS crystal
Zr 0.000 0.000 0.000
Sc 0.500 0.500 0.500
Be 0.250 0.250 0.250
Co 0.750 0.750 0.750
CELL_PARAMETERS angstrom
0.000 3.154 3.154
3.154 0.000 3.154
3.154 3.154 0.000
! Space group: F-43m (216)
! Total moment, μB per formula unit: 0.0
! Distance to the lowest polymorph of the same formula, eV per atom: 0.000

! GGA-PBE InTe4PbAu3, relaxed; values from VASP
&SYSTEM
  ibrav = 0, nat = 9, ntyp = 4
/
ATOMIC_SPECIES
In 114.82 In.upf
Te 127.60 Te.upf
Pb 207.20 Pb.upf
Au 196.97 Au.upf
ATOMIC_POSITIONS crystal
In 0.000 0.000 0.000
Te 0.241 0.241 0.241
Te 0.241 0.759 0.759
Te 0.759 0.241 0.759
Te 0.759 0.759 0.241
Pb 0.500 0.500 0.500
Au 0.000 0.500 0.500
Au 0.500 0.000 0.500
Au 0.500 0.500 0.000
CELL_PARAMETERS angstrom
6.669 0.000 0.000
0.000 6.669 0.000
0.000 0.000 6.669
! Final energy, eV per atom: -3.233
! Space group: P-43m (215)

! GGA-PBE TaTlNiAg, relaxed; values from VASP
&SYSTEM
  ibrav = 0, nat = 4, ntyp = 4
/
ATOMIC_SPECIES
Ta 180.95 Ta.upf
Tl 204.38 Tl.upf
Ni 58.69 Ni.upf
Ag 107.87 Ag.upf
ATOMIC_POSITIONS crystal
Ta 0.000 0.000 0.000
Tl 0.250 0.250 0.250
Ni 0.500 0.500 0.500
Ag 0.750 0.750 0.750
CELL_PARAMETERS angstrom
0.000 3.260 3.260
3.260 0.000 3.260
3.260 3.260 0.000
! Final energy, eV per atom: -5.087
! Space group: F-43m (216)
! Total moment, μB per formula unit: 0.1

! GGA-PBE Er3Zn2Ni7, relaxed; values from VASP
&SYSTEM
  ibrav = 0, nat = 12, ntyp = 3
/
ATOMIC_SPECIES
Er 167.26 Er.upf
Zn 65.41 Zn.upf
Ni 58.69 Ni.upf
ATOMIC_POSITIONS crystal
Er 0.000 0.000 0.000
Er 0.139 0.139 0.139
Er 0.861 0.861 0.861
Zn 0.333 0.333 0.333
Zn 0.667 0.667 0.667
Ni 0.083 0.584 0.584
Ni 0.416 0.416 0.917
Ni 0.416 0.917 0.416
Ni 0.500 0.500 0.500
Ni 0.584 0.083 0.584
Ni 0.584 0.584 0.083
Ni 0.917 0.416 0.416
CELL_PARAMETERS angstrom
2.537 1.465 7.942
-2.537 1.465 7.942
0.000 -2.930 7.942
! Formation energy from the elements, meV per atom: -467
! Space group: R-3m (166)
! Total moment, μB per formula unit: 0.0

! GGA-PBE HoRePt, relaxed; values from VASP
&SYSTEM
  ibrav = 0, nat = 3, ntyp = 3
/
ATOMIC_SPECIES
Ho 164.93 Ho.upf
Re 186.21 Re.upf
Pt 195.08 Pt.upf
ATOMIC_POSITIONS crystal
Ho 0.000 0.000 0.000
Re 0.250 0.250 0.250
Pt 0.750 0.750 0.750
CELL_PARAMETERS angstrom
0.000 3.215 3.215
3.215 0.000 3.215
3.215 3.215 0.000
! Formation energy from the elements, meV per atom: 926
! Space group: F-43m (216)
! Total moment, μB per formula unit: 2.5

! GGA-PBE Y3Ho3Te2Os, relaxed; values from VASP
&SYSTEM
  ibrav = 0, nat = 9, ntyp = 4
/
ATOMIC_SPECIES
Y 88.91 Y.upf
Ho 164.93 Ho.upf
Te 127.60 Te.upf
Os 190.23 Os.upf
ATOMIC_POSITIONS crystal
Y 0.000 0.242 0.000
Y 0.242 0.000 0.000
Y 0.758 0.758 0.000
Ho 0.000 0.611 0.500
Ho 0.389 0.389 0.500
Ho 0.611 0.000 0.500
Te 0.333 0.667 0.000
Te 0.667 0.333 0.000
Os 0.000 0.000 0.500
CELL_PARAMETERS angstrom
8.294 0.000 0.000
-4.147 7.183 0.000
0.000 0.000 4.052
! Space group: P-62m (189)
! Total moment, μB per formula unit: 0.0
! Distance to the lowest polymorph of the same formula, eV per atom: 0.039

! GGA-PBE NdSm2Bi3, relaxed; values from VASP
&SYSTEM
  ibrav = 0, nat = 6, ntyp = 3
/
ATOMIC_SPECIES
Nd 144.24 Nd.upf
Sm 150.36 Sm.upf
Bi 208.98 Bi.upf
ATOMIC_POSITIONS crystal
Nd 0.000 0.000 0.000
Sm 0.333 0.667 0.335
Sm 0.667 0.333 0.665
Bi 0.000 0.000 0.500
Bi 0.333 0.667 0.831
Bi 0.667 0.333 0.169
CELL_PARAMETERS angstrom
4.537 0.000 0.000
-2.269 3.929 0.000
0.000 0.000 11.150
! Final energy, eV per atom: -5.338
! Space group: P-3m1 (164)
! Total moment, μB per formula unit: 0.0

! GGA-PBE Li4SbPPt2, relaxed; values from VASP
&SYSTEM
  ibrav = 0, nat = 8, ntyp = 4
/
ATOMIC_SPECIES
Li 6.94 Li.upf
Sb 121.76 Sb.upf
P 30.97 P.upf
Pt 195.08 Pt.upf
ATOMIC_POSITIONS crystal
Li 0.000 0.000 0.000
Li 0.000 0.500 0.716
Li 0.500 0.000 0.284
Li 0.500 0.500 0.500
Sb 0.500 0.500 0.000
P 0.000 0.000 0.500
Pt 0.000 0.500 0.281
Pt 0.500 0.000 0.719
CELL_PARAMETERS angstrom
4.213 0.000 0.000
0.000 4.213 0.000
0.000 0.000 6.379
! Final energy, eV per atom: -4.328
! Space group: P-4m2 (115)
! Total moment, μB per formula unit: 0.0

! GGA-PBE RbHfCuTe2Se, relaxed; values from VASP
&SYSTEM
  ibrav = 0, nat = 12, ntyp = 5
/
ATOMIC_SPECIES
Rb 85.47 Rb.upf
Hf 178.49 Hf.upf
Cu 63.55 Cu.upf
Te 127.60 Te.upf
Se 78.96 Se.upf
ATOMIC_POSITIONS crystal
Rb 0.240 0.760 0.750
Rb 0.760 0.240 0.250
Hf 0.500 0.500 0.000
Hf 0.500 0.500 0.500
Cu 0.030 0.970 0.250
Cu 0.970 0.030 0.750
Te 0.123 0.877 0.048
Te 0.123 0.877 0.452
Te 0.877 0.123 0.548
Te 0.877 0.123 0.952
Se 0.445 0.555 0.250
Se 0.555 0.445 0.750
CELL_PARAMETERS angstrom
2.039 -8.172 0.000
2.039 8.172 0.000
0.000 0.000 10.426
! Final energy, eV per atom: -4.935
! Space group: Cmcm (63)
! Total moment, μB per formula unit: 0.0

! GGA-PBE UInPt, relaxed; values from VASP
&SYSTEM
  ibrav = 0, nat = 9, ntyp = 3
/
ATOMIC_SPECIES
U 238.03 U.upf
In 114.82 In.upf
Pt 195.08 Pt.upf
ATOMIC_POSITIONS crystal
U 0.000 0.507 0.000
U 0.493 0.493 0.000
U 0.507 0.000 0.000
In 0.000 0.000 0.000
In 0.333 0.667 0.500
In 0.667 0.333 0.500
Pt 0.000 0.236 0.500
Pt 0.236 0.000 0.500
Pt 0.764 0.764 0.500
CELL_PARAMETERS angstrom
6.832 0.000 0.000
-3.416 5.916 0.000
0.000 0.000 4.804
! Final energy, eV per atom: -6.860
! Space group: P-62m (189)
! Total moment, μB per formula unit: 2.6

! GGA-PBE DyNbC2I2, relaxed; values from VASP
&SYSTEM
  ibrav = 0, nat = 6, ntyp = 4
/
ATOMIC_SPECIES
Dy 162.50 Dy.upf
Nb 92.91 Nb.upf
C 12.01 C.upf
I 126.90 I.upf
ATOMIC_POSITIONS crystal
Dy 0.000 0.000 0.000
Nb 0.702 0.702 0.772
C 0.281 0.281 0.903
C 0.442 0.442 0.840
I 0.039 0.039 0.583
I 0.683 0.683 0.201
CELL_PARAMETERS angstrom
3.557 -1.842 0.000
3.557 1.842 0.000
-0.688 0.000 10.804
! Final energy, eV per atom: -6.508
! Space group: Cm (8)
! Total moment, μB per formula unit: 0.0

! GGA-PBE NaSnIr, relaxed; values from VASP
&SYSTEM
  ibrav = 0, nat = 3, ntyp = 3
/
ATOMIC_SPECIES
Na 22.99 Na.upf
Sn 118.71 Sn.upf
Ir 192.22 Ir.upf
ATOMIC_POSITIONS crystal
Na 0.000 0.000 0.000
Sn 0.500 0.500 0.500
Ir 0.250 0.250 0.250
CELL_PARAMETERS angstrom
0.000 3.188 3.188
3.188 0.000 3.188
3.188 3.188 0.000
! Final energy, eV per atom: -4.635
! Space group: F-43m (216)
! Total moment, μB per formula unit: 0.0

! GGA-PBE LaTlCuAu, relaxed; values from VASP
&SYSTEM
  ibrav = 0, nat = 4, ntyp = 4
/
ATOMIC_SPECIES
La 138.91 La.upf
Tl 204.38 Tl.upf
Cu 63.55 Cu.upf
Au 196.97 Au.upf
ATOMIC_POSITIONS crystal
La 0.000 0.000 0.000
Tl 0.500 0.500 0.500
Cu 0.250 0.250 0.250
Au 0.750 0.750 0.750
CELL_PARAMETERS angstrom
0.000 3.581 3.581
3.581 0.000 3.581
3.581 3.581 0.000
! Space group: F-43m (216)
! Total moment, μB per formula unit: 0.0
! Distance to the lowest polymorph of the same formula, eV per atom: 0.000

! GGA-PBE TmAsNO, relaxed; values from VASP
&SYSTEM
  ibrav = 0, nat = 16, ntyp = 4
/
ATOMIC_SPECIES
Tm 168.93 Tm.upf
As 74.92 As.upf
N 14.01 N.upf
O 16.00 O.upf
ATOMIC_POSITIONS crystal
Tm 0.089 0.170 0.000
Tm 0.411 0.170 0.500
Tm 0.589 0.830 0.000
Tm 0.911 0.830 0.500
As 0.161 0.710 0.069
As 0.339 0.710 0.569
As 0.661 0.290 0.069
As 0.839 0.290 0.569
N 0.076 0.124 0.609
N 0.424 0.124 0.109
N 0.576 0.876 0.609
N 0.924 0.876 0.109
O 0.067 0.470 0.061
O 0.433 0.470 0.561
O 0.567 0.530 0.061
O 0.933 0.530 0.561
CELL_PARAMETERS angstrom
6.377 0.000 0.000
0.000 6.804 0.000
0.000 0.000 5.774
! Space group: Pca2_1 (29)
! Total moment, μB per formula unit: 0.0
! Distance to the lowest polymorph of the same formula, eV per atom: 0.269

! GGA-PBE ScHgPO, relaxed; values from VASP
&SYSTEM
  ibrav = 0, nat = 8, ntyp = 4
/
ATOMIC_SPECIES
Sc 44.96 Sc.upf
Hg 200.59 Hg.upf
P 30.97 P.upf
O 16.00 O.upf
ATOMIC_POSITIONS crystal
Sc 0.000 0.220 0.000
Sc 0.000 0.780 0.500
Hg 0.500 0.338 0.563
Hg 0.500 0.662 0.063
P 0.000 0.180 0.432
P 0.000 0.820 0.932
O 0.500 0.285 0.980
O 0.500 0.715 0.480
CELL_PARAMETERS angstrom
4.047 0.000 0.000
0.000 6.417 0.000
0.000 0.000 6.044
! Space group: Pmc2_1 (26)
! Total moment, μB per formula unit: 0.0
! Distance to the lowest polymorph of the same formula, eV per atom: 0.124

! GGA-PBE Na2Zr2AlGaPd2, relaxed; values from VASP
&SYSTEM
  ibrav = 0, nat = 8, ntyp = 5
/
ATOMIC_SPECIES
Na 22.99 Na.upf
Zr 91.22 Zr.upf
Al 26.98 Al.upf
Ga 69.72 Ga.upf
Pd 106.42 Pd.upf
ATOMIC_POSITIONS crystal
Na 0.000 0.500 0.247
Na 0.500 0.000 0.753
Zr 0.000 0.000 0.000
Zr 0.500 0.500 0.500
Al 0.000 0.000 0.500
Ga 0.500 0.500 0.000
Pd 0.000 0.500 0.746
Pd 0.500 0.000 0.254
CELL_PARAMETERS angstrom
4.634 0.000 0.000
0.000 4.634 0.000
0.000 0.000 6.557
! Final energy, eV per atom: -4.882
! Space group: P-4m2 (115)
! Total moment, μB per formula unit: 0.0

! GGA-PBE ScHgPO, relaxed; values from VASP
&SYSTEM
  ibrav = 0, nat = 8, ntyp = 4
/
ATOMIC_SPECIES
Sc 44.96 Sc.upf
Hg 200.59 Hg.upf
P 30.97 P.upf
O 16.00 O.upf
ATOMIC_POSITIONS crystal
Sc 0.250 0.250 0.099
Sc 0.750 0.750 0.901
Hg 0.250 0.750 0.500
Hg 0.750 0.250 0.500
P 0.250 0.250 0.717
P 0.750 0.750 0.283
O 0.250 0.750 0.000
O 0.750 0.250 0.000
CELL_PARAMETERS angstrom
3.960 0.000 0.000
0.000 3.960 0.000
0.000 0.000 8.708
! Space group: P4/nmm (129)
! Total moment, μB per formula unit: 0.0
! Distance to the lowest polymorph of the same formula, eV per atom: 0.000

! GGA-PBE Tb2SmCu4Ge4, relaxed; values from VASP
&SYSTEM
  ibrav = 0, nat = 11, ntyp = 4
/
ATOMIC_SPECIES
Tb 158.93 Tb.upf
Sm 150.36 Sm.upf
Cu 63.55 Cu.upf
Ge 72.64 Ge.upf
ATOMIC_POSITIONS crystal
Tb 0.131 0.131 0.000
Tb 0.869 0.869 0.000
Sm 0.500 0.000 0.500
Cu 0.143 0.332 0.811
Cu 0.479 0.668 0.811
Cu 0.521 0.332 0.189
Cu 0.857 0.668 0.189
Ge 0.189 0.500 0.689
Ge 0.283 0.783 0.500
Ge 0.717 0.217 0.500
Ge 0.811 0.500 0.311
CELL_PARAMETERS angstrom
-2.113 3.355 7.024
2.113 -3.355 7.024
2.113 3.355 -7.024
! Final energy, eV per atom: -4.938
! Space group: Immm (71)
! Total moment, μB per formula unit: 0.0

! GGA-PBE RbPmTeO, relaxed; values from VASP
&SYSTEM
  ibrav = 0, nat = 16, ntyp = 4
/
ATOMIC_SPECIES
Rb 85.47 Rb.upf
Pm 145.00 Pm.upf
Te 127.60 Te.upf
O 16.00 O.upf
ATOMIC_POSITIONS crystal
Rb 0.129 0.101 0.337
Rb 0.129 0.399 0.837
Rb 0.871 0.601 0.163
Rb 0.871 0.899 0.663
Pm 0.488 0.637 0.789
Pm 0.488 0.863 0.289
Pm 0.512 0.137 0.711
Pm 0.512 0.363 0.211
Te 0.249 0.572 0.381
Te 0.249 0.928 0.881
Te 0.751 0.072 0.119
Te 0.751 0.428 0.619
O 0.430 0.141 0.388
O 0.430 0.359 0.888
O 0.570 0.641 0.112
O 0.570 0.859 0.612
CELL_PARAMETERS angstrom
9.271 0.000 0.000
0.000 7.690 0.000
-0.963 0.000 6.821
! Space group: P2_1/c (14)
! Total moment, μB per formula unit: 0.0
! Distance to the lowest polymorph of the same formula, eV per atom: 0.000